The following is a PBE calculation of a geometry-optimized ZnCoMo2 structure, from Alexandria.

a = 2.694 Å, b = 2.694 Å, c = 7.721 Å
α = 90.00°, β = 90.00°, γ = 90.07°
Fractional coordinates of all 4 atoms:
Mo1 0.000 0.000 0.964
Zn1 0.000 0.000 0.528
Mo2 0.500 0.500 0.260
Co1 0.500 0.500 0.747

ΔH_f (0 K), meV/atom: 66
Symmetry: P4mm, No. 99
Total DFT energy (no corrections), eV per atom: -7.445


The following is a PBE calculation of a geometry-optimized ZnCoMo structure, from Alexandria.

a = 5.003 Å, b = 4.202 Å, c = 5.668 Å
α = 74.77°, β = 63.81°, γ = 53.47°
Fractional coordinates of all 6 atoms:
Mo1 0.750 0.500 0.500
Zn1 0.175 0.650 0.000
Co1 0.385 0.000 0.231
Mo2 0.250 0.500 0.500
Co2 0.615 0.000 0.769
Zn2 0.825 0.350 0.000

ΔH_f (0 K), meV/atom: 277
Symmetry: Fmmm, No. 69
Total DFT energy (no corrections), eV per atom: -6.126


The following is a PBE calculation of a geometry-optimized ZnCo2Mo2 structure, from Alexandria.

a = 7.116 Å, b = 7.116 Å, c = 2.702 Å
α = 90.00°, β = 90.00°, γ = 90.00°
Fractional coordinates of all 10 atoms:
Mo1 0.828 0.328 0.500
Mo2 0.672 0.828 0.500
Co1 0.623 0.123 0.000
Co2 0.877 0.623 0.000
Co3 0.123 0.377 0.000
Mo3 0.172 0.672 0.500
Zn1 0.000 0.000 0.000
Co4 0.377 0.877 0.000
Mo4 0.328 0.172 0.500
Zn2 0.500 0.500 0.000

ΔH_f (0 K), meV/atom: 105
Symmetry: P4/mbm, No. 127
Total DFT energy (no corrections), eV per atom: -7.324


The following is a PBE calculation of a geometry-optimized Zr2CoMo structure, from Alexandria.

a = 3.068 Å, b = 3.068 Å, c = 7.674 Å
α = 90.00°, β = 90.00°, γ = 90.42°
Fractional coordinates of all 4 atoms:
Zr1 0.500 0.500 0.288
Co1 0.000 0.000 0.542
Mo1 0.500 0.500 0.700
Zr2 0.000 0.000 0.971

ΔH_f (0 K), meV/atom: 76
Symmetry: Cmm2, No. 35
Total DFT energy (no corrections), eV per atom: -8.683


The following is a PBE calculation of a geometry-optimized ZrCo2Mo2 structure, from Alexandria.

a = 3.909 Å, b = 3.909 Å, c = 5.981 Å
α = 70.92°, β = 70.92°, γ = 90.00°
Fractional coordinates of all 5 atoms:
Zr1 0.000 0.000 0.000
Co1 0.250 0.750 0.500
Mo1 0.382 0.382 0.235
Mo2 0.618 0.618 0.765
Co2 0.750 0.250 0.500

ΔH_f (0 K), meV/atom: 297
Symmetry: I4/mmm, No. 139
Total DFT energy (no corrections), eV per atom: -8.588


The following is a PBE calculation of a geometry-optimized ZrCo2Mo structure, from Alexandria.

a = 4.097 Å, b = 4.097 Å, c = 4.862 Å
α = 65.08°, β = 65.08°, γ = 59.96°
Fractional coordinates of all 4 atoms:
Co1 0.965 0.965 0.105
Zr1 0.750 0.750 0.750
Mo1 0.250 0.250 0.250
Co2 0.535 0.535 0.395

ΔH_f (0 K), meV/atom: 10
Symmetry: R-3m, No. 166
Total DFT energy (no corrections), eV per atom: -8.388


The following is a PBE calculation of a geometry-optimized Zr9CoMo4 structure, from Alexandria.

a = 8.797 Å, b = 8.797 Å, c = 8.455 Å
α = 90.00°, β = 90.00°, γ = 120.00°
Fractional coordinates of all 28 atoms:
Co1 0.333 0.667 0.250
Mo1 0.779 0.890 0.750
Zr1 0.201 0.799 0.058
Zr2 0.799 0.201 0.942
Mo2 0.000 0.000 0.500
Co2 0.667 0.333 0.750
Zr3 0.201 0.402 0.058
Mo3 0.110 0.890 0.750
Zr4 0.799 0.598 0.942
Zr5 0.543 0.086 0.250
Zr6 0.201 0.799 0.442
Zr7 0.799 0.201 0.558
Mo4 0.221 0.110 0.250
Zr8 0.402 0.201 0.558
Zr9 0.201 0.402 0.442
Zr10 0.598 0.799 0.058
Zr11 0.457 0.914 0.750
Mo5 0.890 0.779 0.250
Zr12 0.598 0.799 0.442
Zr13 0.402 0.201 0.942
Mo6 0.000 0.000 0.000
Zr14 0.457 0.543 0.750
Zr15 0.543 0.457 0.250
Mo7 0.110 0.221 0.750
Zr16 0.914 0.457 0.250
Mo8 0.890 0.110 0.250
Zr17 0.086 0.543 0.750
Zr18 0.799 0.598 0.558

ΔH_f (0 K), meV/atom: -130
Symmetry: P6_3/mmc, No. 194
Total DFT energy (no corrections), eV per atom: -9.228


The following is a PBE calculation of a geometry-optimized Zr2CoMo structure, from Alexandria.

a = 7.152 Å, b = 7.152 Å, c = 5.816 Å
α = 52.06°, β = 52.06°, γ = 90.00°
Fractional coordinates of all 8 atoms:
Mo1 0.000 0.000 0.000
Co1 0.250 0.750 0.500
Zr1 0.875 0.847 0.750
Co2 0.500 0.500 0.000
Zr2 0.597 0.125 0.250
Zr3 0.375 0.403 0.750
Mo2 0.750 0.250 0.500
Zr4 0.153 0.625 0.250

ΔH_f (0 K), meV/atom: 364
Symmetry: I-42d, No. 122
Total DFT energy (no corrections), eV per atom: -8.394


The following is a PBE calculation of a geometry-optimized ZrCo2Mo structure, from Alexandria.

a = 9.196 Å, b = 9.196 Å, c = 9.196 Å
α = 17.33°, β = 17.33°, γ = 17.33°
Fractional coordinates of all 4 atoms:
Mo1 0.511 0.511 0.511
Co1 0.989 0.989 0.989
Co2 0.255 0.255 0.255
Zr1 0.744 0.744 0.744

ΔH_f (0 K), meV/atom: 362
Symmetry: R3m, No. 160
Total DFT energy (no corrections), eV per atom: -8.036


The following is a PBE calculation of a geometry-optimized ZrCo2Mo structure, from Alexandria.

a = 3.161 Å, b = 3.161 Å, c = 5.925 Å
α = 90.00°, β = 90.00°, γ = 90.00°
Fractional coordinates of all 4 atoms:
Mo1 0.000 0.000 0.445
Co1 0.500 0.500 0.256
Zr1 0.500 0.500 0.775
Co2 0.000 0.000 0.024

ΔH_f (0 K), meV/atom: 57
Symmetry: P4mm, No. 99
Total DFT energy (no corrections), eV per atom: -8.341


The following is a PBE calculation of a geometry-optimized ZrCo2Mo structure, from Alexandria.

a = 4.032 Å, b = 3.052 Å, c = 5.041 Å
α = 71.73°, β = 90.00°, γ = 90.00°
Fractional coordinates of all 4 atoms:
Co1 0.500 0.023 0.302
Zr1 0.500 0.775 0.831
Co2 0.000 0.208 0.968
Mo1 0.000 0.494 0.400

ΔH_f (0 K), meV/atom: -56
Symmetry: Pm, No. 6
Total DFT energy (no corrections), eV per atom: -8.454


The following is a PBE calculation of a geometry-optimized ZrCo4Mo structure, from Alexandria.

a = 4.784 Å, b = 4.784 Å, c = 4.784 Å
α = 60.00°, β = 60.00°, γ = 60.00°
Fractional coordinates of all 6 atoms:
Co1 0.125 0.625 0.625
Mo1 0.250 0.250 0.250
Zr1 0.000 0.000 0.000
Co2 0.625 0.625 0.625
Co3 0.625 0.625 0.125
Co4 0.625 0.125 0.625

ΔH_f (0 K), meV/atom: -84
Symmetry: F-43m, No. 216
Total DFT energy (no corrections), eV per atom: -8.051


The following is a PBE calculation of a geometry-optimized Zr2CoMo structure, from Alexandria.

a = 4.585 Å, b = 4.585 Å, c = 4.585 Å
α = 60.00°, β = 60.00°, γ = 60.00°
Fractional coordinates of all 4 atoms:
Zr1 0.000 0.000 0.000
Zr2 0.250 0.250 0.250
Co1 0.500 0.500 0.500
Mo1 0.750 0.750 0.750

ΔH_f (0 K), meV/atom: 159
Symmetry: F-43m, No. 216
Total DFT energy (no corrections), eV per atom: -8.599


The following is a PBE calculation of a geometry-optimized ZrCo2Mo structure, from Alexandria.

a = 4.005 Å, b = 4.005 Å, c = 8.647 Å
α = 76.61°, β = 76.61°, γ = 90.00°
Fractional coordinates of all 8 atoms:
Zr1 0.250 0.750 0.500
Co1 0.668 0.125 0.250
Co2 0.875 0.918 0.750
Mo1 0.750 0.250 0.500
Mo2 0.000 0.000 0.000
Zr2 0.500 0.500 0.000
Co3 0.375 0.332 0.750
Co4 0.082 0.625 0.250

ΔH_f (0 K), meV/atom: 615
Symmetry: I-42d, No. 122
Total DFT energy (no corrections), eV per atom: -7.782